(1)
Material: Cs2HgS2
Method: DFT, meta-GGA SCAN
State: PBEsol geometry

Computed properties:
Energy relative to the elements, uncorrected ... -0.339 eV per atom

a b c (Å): 3.834 3.834 22.060
angles (deg): 90.00 90.00 90.00
Space group I4/mmm (No. 139)
Unique sites:
Cs 0.000 0.000 0.129 x4
Hg 0.000 0.000 0.500 x2
S 0.000 0.500 0.250 x4

=====

(2)
Material: CsSnHg2S
Method: DFT, meta-GGA SCAN
State: PBEsol geometry

Computed properties:
Energy relative to the elements, uncorrected ... -0.374 eV per atom

a b c (Å): 5.557 5.557 5.333
angles (deg): 90.00 90.00 90.00
Space group P4/mmm (No. 123)
Unique sites:
Cs 0.000 0.000 0.000 x1
Sn 0.500 0.500 0.500 x1
Hg 0.000 0.500 0.500 x2
S 0.500 0.500 0.000 x1

=====

(3)
Material: CsHgSb
Method: DFT, meta-GGA SCAN
State: PBEsol geometry

Computed properties:
Energy relative to the elements, uncorrected ... -0.515 eV per atom

a b c (Å): 4.8369 4.8369 11.5592
angles (deg): 90.00 90.00 120.00
Space group P6_3/mmc (No. 194)
Unique sites:
Cs 0.0000 0.0000 0.0000 x2
Hg 0.3333 0.6667 0.2500 x2
Sb 0.3333 0.6667 0.7500 x2

=====

(4)
Material: CsHgSb2Te
Method: DFT, meta-GGA SCAN
State: PBEsol geometry

Computed properties:
Energy relative to the elements, uncorrected ... 1.151 eV per atom

a b c (Å): 7.430 7.430 6.472
angles (deg): 90.00 90.00 90.00
Space group P4/mmm (No. 123)
Unique sites:
Cs 0.000 0.000 0.000 x1
Hg 0.500 0.500 0.500 x1
Sb 0.000 0.500 0.000 x2
Te 0.000 0.000 0.500 x1

=====

(5)
Material: CsHgSe
Method: DFT, meta-GGA SCAN
State: PBEsol geometry

Computed properties:
Energy relative to the elements, uncorrected ... -0.812 eV per atom

a b c (Å): 12.098 5.095 8.271
angles (deg): 90.00 107.80 90.00
Space group Cm (No. 8)
Unique sites:
Cs 0.000 0.000 0.000 x2
Cs 0.202 0.000 0.641 x2
Hg 0.280 0.500 0.253 x2
Hg 0.482 0.000 0.355 x2
Se 0.190 0.500 0.947 x2
Se 0.388 0.500 0.555 x2

=====

(6)
Material: Cs2HgSe
Method: DFT, meta-GGA SCAN
State: PBEsol geometry

Computed properties:
Energy relative to the elements, uncorrected ... -0.935 eV per atom

a b c (Å): 8.431 8.431 8.431
angles (deg): 90.00 90.00 90.00
Space group Fm-3m (No. 225)
Unique sites:
Cs 0.250 0.250 0.250 x8
Hg 0.000 0.000 0.000 x4
Se 0.000 0.000 0.500 x4

=====

(7)
Material: CsSiHg3
Method: DFT, meta-GGA SCAN
State: PBEsol geometry

Computed properties:
Energy relative to the elements, uncorrected ... -0.055 eV per atom

a b c (Å): 5.306 5.306 5.306
angles (deg): 90.00 90.00 90.00
Space group Pm-3m (No. 221)
Unique sites:
Cs 0.000 0.000 0.000 x1
Si 0.500 0.500 0.500 x1
Hg 0.000 0.500 0.500 x3

=====

(8)
Material: Cs2SiHg
Method: DFT, meta-GGA SCAN
State: PBEsol geometry

Computed properties:
Energy relative to the elements, uncorrected ... 0.568 eV per atom

a b c (Å): 5.022 5.022 24.156
angles (deg): 90.00 90.00 90.00
Space group I-42d (No. 122)
Unique sites:
Cs 0.247 0.250 0.125 x8
Si 0.000 0.000 0.500 x4
Hg 0.000 0.000 0.000 x4

=====

(9)
Material: CsSr3Hg
Method: DFT, meta-GGA SCAN
State: PBEsol geometry

Computed properties:
Energy ... -173.86 eV per cell

a b c (Å): 6.417 6.417 6.417
angles (deg): 90.00 90.00 90.00
Space group Pm-3m (No. 221)
Unique sites:
Cs 0.000 0.000 0.000 x1
Sr 0.000 0.500 0.500 x3
Hg 0.500 0.500 0.500 x1

=====

(10)
Material: CsSrHg2
Method: DFT, meta-GGA SCAN
State: PBEsol geometry

Computed properties:
Energy ... -790.57 eV per cell

a b c (Å): 8.252 8.252 8.252
angles (deg): 90.00 90.00 90.00
Space group Fm-3m (No. 225)
Unique sites:
Cs 0.000 0.000 0.000 x4
Sr 0.000 0.000 0.500 x4
Hg 0.250 0.250 0.250 x8

=====

(11)
Material: Cs3SrHg
Method: DFT, meta-GGA SCAN
State: PBEsol geometry

Computed properties:
Energy ... -201.92 eV per cell

a b c (Å): 8.642 8.642 8.642
angles (deg): 90.00 90.00 90.00
Space group Pm-3m (No. 221)
Unique sites:
Cs 0.000 0.000 0.500 x3
Sr 0.000 0.000 0.000 x1
Hg 0.500 0.500 0.500 x1

=====

(12)
Material: CsHg2Te2
Method: DFT, meta-GGA SCAN
State: PBEsol geometry

Computed properties:
Energy relative to the elements, uncorrected ... -0.464 eV per atom

a b c (Å): 5.115 5.115 13.518
angles (deg): 90.00 90.00 90.00
Space group I4/mmm (No. 139)
Unique sites:
Cs 0.000 0.000 0.000 x2
Hg 0.000 0.500 0.250 x4
Te 0.000 0.000 0.359 x4

=====

(13)
Material: CsHgTe
Method: DFT, meta-GGA SCAN
State: PBEsol geometry

Computed properties:
Energy relative to the elements, uncorrected ... -0.767 eV per atom

a b c (Å): 4.649 9.866 10.364
angles (deg): 90.00 90.00 90.00
Space group Immm (No. 71)
Unique sites:
Cs 0.000 0.222 0.000 x4
Hg 0.000 0.000 0.368 x4
Te 0.000 0.500 0.289 x4

=====

(14)
Material: CsHg2W
Method: DFT, meta-GGA SCAN
State: PBEsol geometry

Computed properties:
Energy ... -952.97 eV per cell

a b c (Å): 7.560 7.560 7.560
angles (deg): 90.00 90.00 90.00
Space group Fm-3m (No. 225)
Unique sites:
Cs 0.000 0.000 0.000 x4
Hg 0.250 0.250 0.250 x8
W 0.000 0.000 0.500 x4

=====

(15)
Material: CsYHg2
Method: DFT, meta-GGA SCAN
State: PBEsol geometry

Computed properties:
Energy ... -808.55 eV per cell

a b c (Å): 7.887 7.887 7.887
angles (deg): 90.00 90.00 90.00
Space group Fm-3m (No. 225)
Unique sites:
Cs 0.000 0.000 0.000 x4
Y 0.000 0.000 0.500 x4
Hg 0.250 0.250 0.250 x8

=====

(16)
Material: CsZn3Hg
Method: DFT, meta-GGA SCAN
State: PBEsol geometry

Computed properties:
Energy ... -142.17 eV per cell

a b c (Å): 6.524 6.524 6.524
angles (deg): 90.00 90.00 90.00
Space group Pm-3m (No. 221)
Unique sites:
Cs 0.000 0.000 0.000 x1
Zn 0.000 0.000 0.500 x3
Hg 0.500 0.500 0.500 x1

=====

(17)
Material: CsZr3Hg
Method: DFT, meta-GGA SCAN
State: PBEsol geometry

Computed properties:
Energy ... -188.39 eV per cell

a b c (Å): 5.164 5.164 5.164
angles (deg): 90.00 90.00 90.00
Space group Pm-3m (No. 221)
Unique sites:
Cs 0.000 0.000 0.000 x1
Zr 0.000 0.000 0.500 x3
Hg 0.500 0.500 0.500 x1

=====

(18)
Material: CsK2HoP2O8
Method: DFT, meta-GGA SCAN
State: PBEsol geometry

Computed properties:
Energy relative to the elements, uncorrected ... -2.880 eV per atom

a b c (Å): 5.6453 5.6453 7.8749
angles (deg): 90.00 90.00 120.00
Space group P-3m1 (No. 164)
Unique sites:
Cs 0.0000 0.0000 0.0000 x1
K 0.3333 0.6667 0.7409 x2
Ho 0.0000 0.0000 0.5000 x1
P 0.3333 0.6667 0.2663 x2
O 0.1842 0.3684 0.3371 x6
O 0.3333 0.6667 0.0735 x2

=====

(19)
Material: CsHoMgTe3
Method: DFT, meta-GGA SCAN
State: PBEsol geometry

Computed properties:
Energy relative to the elements, uncorrected ... -1.371 eV per atom

a b c (Å): 4.457 16.776 11.624
angles (deg): 90.00 90.00 90.00
Space group Cmcm (No. 63)
Unique sites:
Cs 0.000 0.248 0.250 x4
Ho 0.000 0.500 0.000 x4
Mg 0.000 0.036 0.750 x4
Te 0.000 0.122 0.548 x8
Te 0.000 0.436 0.750 x4

=====

(20)
Material: CsHoMo2O8
Method: DFT, meta-GGA SCAN
State: PBEsol geometry

Computed properties:
Energy relative to the elements, uncorrected ... -2.616 eV per atom

a b c (Å): 10.626 10.422 7.618
angles (deg): 90.00 130.61 90.00
Space group C2/c (No. 15)
Unique sites:
Cs 0.000 0.195 0.250 x4
Ho 0.000 0.230 0.750 x4
Mo 0.194 0.498 0.733 x8
O 0.023 0.392 0.968 x8
O 0.133 0.080 0.703 x8
O 0.186 0.430 0.432 x8
O 0.226 0.158 0.126 x8

=====

(21)
Material: CsHoMo2O8
Method: DFT, meta-GGA SCAN
State: PBEsol geometry

Computed properties:
Energy relative to the elements, uncorrected ... -2.668 eV per atom

a b c (Å): 5.013 9.460 7.881
angles (deg): 90.00 90.00 90.00
Space group Pccm (No. 49)
Unique sites:
Cs 0.000 0.000 0.250 x2
Ho 0.000 0.500 0.250 x2
Mo 0.477 0.307 0.000 x4
O 0.250 0.438 0.500 x4
O 0.259 0.313 0.178 x8
O 0.384 0.142 0.500 x4

=====

(22)
Material: Cs3HoO3
Method: DFT, meta-GGA SCAN
State: PBEsol geometry

Computed properties:
E above lowest polymorph ... 11.6 meV/atom
Energy relative to the elements, uncorrected ... -2.151 eV per atom

a b c (Å): 7.811 12.603 7.534
angles (deg): 90.00 101.03 90.00
Space group C2/m (No. 12)
Unique sites:
Cs 0.000 0.211 0.000 x4
Cs 0.000 0.262 0.500 x4
Cs 0.144 0.500 0.853 x4
Ho 0.172 0.000 0.652 x4
O 0.105 0.000 0.360 x4
O 0.200 0.363 0.232 x8

=====

(23)
Material: Cs3HoO3
Method: DFT, meta-GGA SCAN
State: PBEsol geometry

Computed properties:
E above lowest polymorph ... 0.0 meV/atom
Energy relative to the elements, uncorrected ... -2.163 eV per atom

a b c (Å): 8.035 7.485 12.043
angles (deg): 90.00 94.94 90.00
Space group P2_1/c (No. 14)
Unique sites:
Cs 0.060 0.124 0.157 x4
Cs 0.351 0.157 0.924 x4
Cs 0.381 0.681 0.810 x4
Ho 0.155 0.590 0.071 x4
O 0.111 0.052 0.414 x4
O 0.246 0.649 0.552 x4
O 0.293 0.049 0.698 x4

=====

(24)
Material: CsHoO2
Method: DFT, meta-GGA SCAN
State: PBEsol geometry

Computed properties:
Energy relative to the elements, uncorrected ... -2.934 eV per atom

a b c (Å): 3.4856 3.4856 13.4732
angles (deg): 90.00 90.00 120.00
Space group P6_3/mmc (No. 194)
Unique sites:
Cs 0.3333 0.6667 0.2500 x2
Ho 0.0000 0.0000 0.0000 x2
O 0.3333 0.6667 0.5826 x4

=====

| no. | calculated density (Mg/m³) | total moment (μB per cell) |
| --- | --- | --- |
| 1 | 5.434 | 0.000 |
| 2 | 6.905 | 0.000 |
| 3 | 6.456 | 0.000 |
| 4 | 3.275 | 5.706 |
| 5 | 5.644 | 0.000 |
| 6 | 6.044 | 0.029 |
| 7 | 8.478 | 0.000 |
| 8 | 5.392 | 0.002 |
| 9 | 3.748 | 0.000 |
| 10 | 7.349 | 0.000 |
| 11 | 1.767 | 0.123 |
| 12 | 7.412 | 0.000 |
| 13 | 6.442 | 0.000 |
| 14 | 11.038 | 15.828 |
| 15 | 8.433 | 0.000 |
| 16 | 3.168 | 0.000 |
| 17 | 7.320 | 2.678 |
| 18 | 4.324 | 0.000 |
| 19 | 5.387 | 0.000 |
| 20 | 6.406 | 0.000 |
| 21 | 5.490 | 0.000 |
| 22 | 5.581 | 0.407 |
| 23 | 5.631 | 0.001 |
| 24 | 7.727 | 0.000 |